(1)
VASP calculation (PBE-GGA) on a geometry-optimized Hf3Ta5Nb12 structure.

```
Hf3Ta5Nb12
1.0
-4.0430 -12.1776 4.1100
13.4500 0.2489 -0.7545
-4.1786 9.3215 8.7854
Nb Ta Hf
48 20 12
direct
0.2718 0.3999 0.8342 Nb
0.9343 0.8342 0.5624 Nb
0.1658 0.0657 0.9376 Nb
0.8719 0.6001 0.9343 Nb
0.6658 0.4376 0.5657 Nb
0.4376 0.7718 0.8719 Nb
0.3342 0.5624 0.4343 Nb
0.8999 0.8342 0.7718 Nb
0.5657 0.6281 0.3999 Nb
0.7718 0.4376 0.3719 Nb
0.3342 0.7718 0.3999 Nb
0.9376 0.5657 0.1658 Nb
0.6001 0.7282 0.6658 Nb
0.8342 0.8999 0.2718 Nb
0.0657 0.1658 0.4376 Nb
0.4343 0.0624 0.3342 Nb
0.6001 0.8719 0.4343 Nb
0.7718 0.3342 0.8999 Nb
0.0657 0.8999 0.1281 Nb
0.0624 0.4343 0.8342 Nb
0.6281 0.0624 0.2282 Nb
0.6281 0.5657 0.8999 Nb
0.4343 0.3719 0.6001 Nb
0.5624 0.2282 0.1281 Nb
0.1001 0.1658 0.2282 Nb
0.8342 0.9343 0.0624 Nb
0.5657 0.9376 0.6658 Nb
0.3719 0.4343 0.1001 Nb
0.7282 0.1281 0.0624 Nb
0.1281 0.3999 0.0657 Nb
0.0624 0.6281 0.7282 Nb
0.1281 0.7282 0.5624 Nb
0.7282 0.6001 0.1658 Nb
0.3999 0.2718 0.3342 Nb
0.8999 0.0657 0.6281 Nb
0.1658 0.1001 0.7282 Nb
0.3719 0.9376 0.7718 Nb
0.9376 0.3719 0.2718 Nb
0.2282 0.6658 0.1001 Nb
0.3999 0.1281 0.5657 Nb
0.4376 0.6658 0.0657 Nb
0.2282 0.5624 0.6281 Nb
0.8719 0.2718 0.4376 Nb
0.5624 0.3342 0.9343 Nb
0.1001 0.9343 0.3719 Nb
0.6658 0.2282 0.6001 Nb
0.2718 0.8719 0.9376 Nb
0.9343 0.1001 0.8719 Nb
0.5000 0.0000 0.0000 Ta
0.3750 0.2500 0.1250 Ta
0.2500 0.3750 0.6250 Ta
0.8750 0.6250 0.7500 Ta
0.3750 0.1250 0.7500 Ta
0.6250 0.8750 0.2500 Ta
0.5000 0.5000 0.5000 Ta
0.0000 0.5000 0.5000 Ta
0.0000 0.0000 0.0000 Ta
0.7500 0.6250 0.3750 Ta
0.8750 0.2500 0.6250 Ta
0.5000 0.5000 0.0000 Ta
0.1250 0.7500 0.3750 Ta
0.7500 0.1250 0.8750 Ta
0.0000 0.5000 0.0000 Ta
0.1250 0.3750 0.2500 Ta
0.2500 0.8750 0.1250 Ta
0.0000 0.0000 0.5000 Ta
0.6250 0.7500 0.8750 Ta
0.5000 0.0000 0.5000 Ta
0.3750 0.7500 0.6250 Hf
0.8750 0.7500 0.1250 Hf
0.2500 0.1250 0.3750 Hf
0.7500 0.3750 0.1250 Hf
0.1250 0.2500 0.8750 Hf
0.1250 0.8750 0.7500 Hf
0.3750 0.6250 0.2500 Hf
0.6250 0.2500 0.3750 Hf
0.7500 0.8750 0.6250 Hf
0.8750 0.1250 0.2500 Hf
0.6250 0.3750 0.7500 Hf
0.2500 0.6250 0.8750 Hf
```

## Properties
SG = Ia-3d, No. 230
uncorrected energy = -8.9462 eV per atom

=====

(2)
VASP calculation (PBE-GGA) on a geometry-optimized HfTaNb structure.

```
HfTaNb
1.0
-1.5872 -2.4266 -0.6886
3.9746 -2.6096 0.0347
-2.5340 0.5254 3.9890
Ta Hf Nb
1 1 1
direct
0.9463 0.0000 0.0000 Ta
0.3504 0.6667 0.3333 Hf
0.7033 0.3333 0.6667 Nb
```

## Properties
SG = P3m1, No. 156
uncorrected energy = -10.5788 eV per atom

=====

(3)
VASP calculation (PBE-GGA) on a geometry-optimized Hf2TaNb structure.

```
Hf2TaNb
1.0
-0.0721 -0.9219 2.8982
4.7585 -1.8870 -0.4818
1.9438 4.5219 1.4867
Nb Ta Hf
1 1 2
direct
0.5000 0.5000 0.5000 Nb
0.5000 0.0000 0.0000 Ta
0.0000 0.5000 0.0000 Hf
0.0000 0.0000 0.5000 Hf
```

## Properties
SG = P4/mmm, No. 123
uncorrected energy = -10.3052 eV per atom

=====

(4)
VASP calculation (PBE-GGA) on a geometry-optimized HfTa14Nb structure.

```
HfTa14Nb
1.0
-2.7959 -1.6071 4.7933
5.4987 -1.7459 0.3020
2.3584 8.1379 4.1042
Ta Nb Hf
14 1 1
direct
0.8793 0.1207 0.2498 Ta
0.8673 0.6174 0.2459 Ta
0.3826 0.1327 0.2459 Ta
0.8793 0.1207 0.7502 Ta
0.3826 0.1327 0.7541 Ta
0.1252 0.3751 0.5000 Ta
0.8673 0.6174 0.7541 Ta
0.6249 0.8748 0.5000 Ta
0.1250 0.8750 0.0000 Ta
0.3707 0.6293 0.7503 Ta
0.1250 0.3750 0.0000 Ta
0.3707 0.6293 0.2497 Ta
0.6250 0.3750 0.0000 Ta
0.6250 0.8750 0.0000 Ta
0.6251 0.3749 0.5000 Nb
0.1250 0.8750 0.5000 Hf
```

## Properties
SG = Cmmm, No. 65
uncorrected energy = -11.5974 eV per atom

=====

(5)
VASP calculation (PBE-GGA) on a geometry-optimized HfTa2Nb structure.

```
HfTa2Nb
1.0
-0.4088 1.1521 3.1243
-3.0822 -3.5264 0.8971
3.5921 -2.7610 1.4881
Hf Ta Nb
1 2 1
direct
0.5000 0.5000 0.5000 Hf
0.0000 0.5000 0.0000 Ta
0.0000 0.0000 0.5000 Ta
0.5000 0.0000 0.0000 Nb
```

## Properties
SG = P4/mmm, No. 123
uncorrected energy = -10.8335 eV per atom

=====

(6)
VASP calculation (PBE-GGA) on a geometry-optimized HfTa2Nb4 structure.

```
HfTa2Nb4
1.0
-1.7414 2.6126 0.9490
-2.8546 -1.4648 -1.2057
-0.4516 -4.4011 11.2876
Hf Nb Ta
1 4 2
direct
0.0000 0.5000 0.0000 Hf
0.0000 0.6431 0.2861 Nb
0.5000 0.9235 0.8469 Nb
0.0000 0.3569 0.7139 Nb
0.5000 0.0765 0.1531 Nb
0.5000 0.7947 0.5895 Ta
0.5000 0.2053 0.4105 Ta
```

## Properties
SG = Cmmm, No. 65
uncorrected energy = -10.3436 eV per atom

=====

(7)
VASP calculation (PBE-GGA) on a geometry-optimized HfTa6Nb2 structure.

```
HfTa6Nb2
1.0
-3.6252 2.5484 0.7331
0.6304 -0.3779 4.4310
5.0971 7.2807 -0.1041
Ta Nb Hf
6 2 1
direct
0.5000 0.0000 0.3048 Ta
0.5000 0.0000 0.6952 Ta
0.5000 0.5000 0.5000 Ta
0.0000 0.5000 0.3048 Ta
0.0000 0.0000 0.5000 Ta
0.0000 0.5000 0.6952 Ta
0.5000 0.5000 0.1372 Nb
0.5000 0.5000 0.8628 Nb
0.0000 0.0000 0.0000 Hf
```

## Properties
SG = P4/mmm, No. 123
uncorrected energy = -10.8122 eV per atom

=====

(8)
VASP calculation (PBE-GGA) on a geometry-optimized HfTa6Nb12 structure.

```
HfTa6Nb12
1.0
7.4379 0.2899 -0.2396
-0.2566 7.4392 -0.2396
0.2693 0.2899 7.4369
Ta Nb Hf
6 12 1
direct
0.1540 0.6749 0.1540 Ta
0.1540 0.1540 0.6749 Ta
0.8460 0.8460 0.3251 Ta
0.3251 0.8460 0.8460 Ta
0.6749 0.1540 0.1540 Ta
0.8460 0.3251 0.8460 Ta
0.8239 0.5000 0.1761 Nb
0.5501 0.8352 0.5501 Nb
0.4499 0.1648 0.4499 Nb
0.5501 0.5501 0.8352 Nb
0.5000 0.1761 0.8239 Nb
0.1761 0.8239 0.5000 Nb
0.1761 0.5000 0.8239 Nb
0.4499 0.4499 0.1648 Nb
0.5000 0.8239 0.1761 Nb
0.1648 0.4499 0.4499 Nb
0.8239 0.1761 0.5000 Nb
0.8352 0.5501 0.5501 Nb
0.0000 0.0000 0.0000 Hf
```

## Properties
SG = R-3m, No. 166
uncorrected energy = -9.8833 eV per atom

=====

Which energy of formation belongs to each record? In order, 1551.8 46.5 152.1 25.1 98.7 219.0 433.2 743.4 meV per atom.